Entry A
Here is MgIn2Cl after structural relaxation from Alexandria via LeMat-Bulk. Energies are from PBE.

Results
**Size of the total moment**: 0.000 Bohr magnetons per cell

Lattice parameters (Å, degrees): 3.7964 4.5434 6.1274 90.00 90.00 90.00
With the nearest neighbours (Å) after each atom.
Space group Pmm2 (No. 25)
Asymmetric unit:
Mg: 0.0000 0.0000 0.0000 (multiplicity 1)  2 In 2.94-3.18, 4 Cl 2.97
In: 0.0000 0.0000 0.4805 (multiplicity 1)  2 Mg 2.94-3.18, 4 In 3.02
In: 0.5000 0.5000 0.5779 (multiplicity 1)  1 Cl 2.80, 4 In 3.02
Cl: 0.5000 0.5000 0.0341 (multiplicity 1)  1 In 2.80, 4 Mg 2.97

***

Entry B
Here is MgIn2Cl after structural relaxation from Alexandria via LeMat-Bulk. Energies are from PBE.

Results
**Size of the total moment**: 0.000 Bohr magnetons per cell

Lattice parameters (Å, degrees): 3.4404 3.4404 8.6420 90.00 90.00 90.00
With the nearest neighbours (Å) after each atom.
Space group P4/mmm (No. 123)
Asymmetric unit:
Mg: 0.0000 0.0000 0.0000 (multiplicity 1)  8 In 3.25, 4 Mg 3.44
In: 0.5000 0.5000 0.2501 (multiplicity 2)  4 Cl 3.25, 4 Mg 3.25, 4 In 3.44
Cl: 0.0000 0.0000 0.5000 (multiplicity 1)  8 In 3.25, 4 Cl 3.44

***

Which structure is most stable, and how do the rest compare? From most to least stable: entry A, entry B.

***

Entry A
Here is MgInCl after structural relaxation from Alexandria via LeMat-Bulk. Energies are from PBE.

Results
**Size of the total moment**: 0.000 Bohr magnetons per cell

Lattice parameters (Å, degrees): 4.8954 4.8954 3.5764 90.00 90.00 120.00
With the nearest neighbours (Å) after each atom.
Space group P3m1 (No. 156)
Asymmetric unit:
Mg: 0.0000 0.0000 0.0000 (multiplicity 1)  3 Cl 2.83
In: 0.6667 0.3333 0.4997 (multiplicity 1)  6 Cl 3.34-3.35, 6 Mg 3.34-3.35, 2 In 3.58
Cl: 0.3333 0.6667 0.9981 (multiplicity 1)  3 Mg 2.83

***

Entry B
Here is MgInCl after structural relaxation from Alexandria via LeMat-Bulk. Energies are from PBE.

Results
**Size of the total moment**: 0.000 Bohr magnetons per cell

Lattice parameters (Å, degrees): 16.6277 3.4115 5.9070 90.00 90.00 90.00
With the nearest neighbours (Å) after each atom.
Space group Amm2 (No. 38)
Asymmetric unit:
Mg: 0.0000 0.0000 0.0000 (multiplicity 2)  6 Cl 2.51
Mg: 0.5000 0.0000 0.2204 (multiplicity 2)  6 In 3.26, 6 Mg 3.41
In: 0.3439 0.0000 0.8868 (multiplicity 4)  3 Mg 3.26, 6 In 3.41
Cl: 0.0939 0.0000 0.3331 (multiplicity 4)  3 Mg 2.51

***

Entry C
Here is MgInCl after structural relaxation from Alexandria via LeMat-Bulk. Energies are from PBE.

Results
**Size of the total moment**: 0.000 Bohr magnetons per cell

Lattice parameters (Å, degrees): 3.4459 3.4459 8.2491 90.00 90.00 120.00
With the nearest neighbours (Å) after each atom.
Space group P3m1 (No. 156)
Asymmetric unit:
Mg: 0.0000 0.0000 0.0000 (multiplicity 1)  3 Cl 2.49
In: 0.3333 0.6667 0.6928 (multiplicity 1)  3 Mg 3.22, 6 In 3.45
Cl: 0.6667 0.3333 0.1810 (multiplicity 1)  3 Mg 2.49

***

Which structure is most stable, and how do the rest compare? From most to least stable: entry B, entry C, entry A.

***

Entry A
Here is MgInCl after structural relaxation from Alexandria via LeMat-Bulk. Energies are from PBE.

Results
**Size of the total moment**: 0.000 Bohr magnetons per cell

Lattice parameters (Å, degrees): 7.1927 7.1927 7.1927 90.00 90.00 90.00
With the nearest neighbours (Å) after each atom.
Space group F-43m (No. 216)
Asymmetric unit:
Mg: 0.0000 0.0000 0.0000 (multiplicity 4)  4 In 3.11, 4 Cl 3.11
In: 0.2500 0.2500 0.2500 (multiplicity 4)  4 Mg 3.11
Cl: 0.2500 0.2500 0.7500 (multiplicity 4)  4 Mg 3.11

***

Entry B
Here is MgInCl after structural relaxation from Alexandria via LeMat-Bulk. Energies are from PBE.

Results
**Size of the total moment**: 0.000 Bohr magnetons per cell

Lattice parameters (Å, degrees): 5.1097 3.6634 8.2659 90.00 92.32 90.00
With the nearest neighbours (Å) after each atom.
Space group P2_1/m (No. 11)
Asymmetric unit:
Mg: 0.0091 0.2500 0.2012 (multiplicity 2)  3 Cl 2.50-2.56
In: 0.2692 0.2500 0.5532 (multiplicity 2)  3 Mg 3.12-3.15, 4 In 3.14-3.39
Cl: 0.2557 0.7500 0.0688 (multiplicity 2)  3 Mg 2.50-2.56

***

Which structure is most stable, and how do the rest compare? From most to least stable: entry B, entry A.

***

Entry A
Here is MgIn2Cl2 after structural relaxation from Alexandria via LeMat-Bulk. Energies are from PBE.

Results
**Size of the total moment**: 0.000 Bohr magnetons per cell

Lattice parameters (Å, degrees): 6.5561 6.5561 6.5885 90.00 90.00 90.00
With the nearest neighbours (Å) after each atom.
Space group P4/mbm (No. 127)
Asymmetric unit:
Mg: 0.0000 0.0000 0.0000 (multiplicity 2)  4 Cl 2.40
In: 0.1983 0.3017 0.5000 (multiplicity 4)  5 In 3.35-3.68, 2 Cl 3.47
Cl: 0.1830 0.6830 0.0000 (multiplicity 4)  2 Mg 2.40

***

Entry B
Here is MgIn2Cl2 after structural relaxation from Alexandria via LeMat-Bulk. Energies are from PBE.

Results
**Size of the total moment**: 0.000 Bohr magnetons per cell

Lattice parameters (Å, degrees): 6.4445 6.4445 7.7179 90.00 90.00 90.00
With the nearest neighbours (Å) after each atom.
Space group I4/mmm (No. 139)
Asymmetric unit:
Mg: 0.0000 0.0000 0.0000 (multiplicity 2)  2 Cl 2.30
In: 0.0000 0.5000 0.2500 (multiplicity 4)  4 Cl 3.24
Cl: 0.0000 0.0000 0.2979 (multiplicity 4)  1 Mg 2.30

***

Which structure is most stable, and how do the rest compare? From most to least stable: entry A, entry B.

***

Entry A
Here is MgIn3Cl after structural relaxation from Alexandria via LeMat-Bulk. Energies are from PBE.

Results
**Size of the total moment**: 0.000 Bohr magnetons per cell

Lattice parameters (Å, degrees): 5.5496 5.5496 5.5496 90.00 90.00 90.00
With the nearest neighbours (Å) after each atom.
Space group Pm-3m (No. 221)
Asymmetric unit:
Mg: 0.0000 0.0000 0.0000 (multiplicity 1)  6 In 2.77
In: 0.0000 0.0000 0.5000 (multiplicity 3)  2 Mg 2.77
Cl: 0.5000 0.5000 0.5000 (multiplicity 1)  12 In 3.92

***

Entry B
Here is MgIn3Cl after structural relaxation from Alexandria via LeMat-Bulk. Energies are from PBE.

Results
**Size of the total moment**: 0.000 Bohr magnetons per cell

Lattice parameters (Å, degrees): 5.6475 5.6475 5.6475 90.00 90.00 90.00
With the nearest neighbours (Å) after each atom.
Space group Pm-3m (No. 221)
Asymmetric unit:
Mg: 0.0000 0.0000 0.0000 (multiplicity 1)  12 In 3.99
In: 0.0000 0.5000 0.5000 (multiplicity 3)  2 Cl 2.82
Cl: 0.5000 0.5000 0.5000 (multiplicity 1)  6 In 2.82

***

Which structure is most stable, and how do the rest compare? From most to least stable: entry A, entry B.

***

Entry A
Here is MgIn2Cl4 after structural relaxation from Alexandria via LeMat-Bulk. Energies are from PBE.

Results
**Size of the total moment**: 0.000 Bohr magnetons per cell

Lattice parameters (Å, degrees): 15.5022 3.7738 7.4423 90.00 109.46 90.00
With the nearest neighbours (Å) after each atom.
Space group C2/m (No. 12)
Asymmetric unit:
Mg: 0.0000 0.0000 0.0000 (multiplicity 2)  6 Cl 2.54-2.57
In: 0.2316 0.5000 0.7090 (multiplicity 4)  3 Cl 2.94-2.97
Cl: 0.0728 0.5000 0.2290 (multiplicity 4)  2 Mg 2.54
Cl: 0.1407 0.0000 0.8915 (multiplicity 4)  1 Mg 2.57

***

Entry B
Here is MgIn2Cl4 after structural relaxation from Alexandria via LeMat-Bulk. Energies are from PBE.

Results
**Size of the total moment**: 0.000 Bohr magnetons per cell

Lattice parameters (Å, degrees): 8.7382 11.7005 3.8645 90.00 90.00 90.00
With the nearest neighbours (Å) after each atom.
Space group Pbam (No. 55)
Asymmetric unit:
Mg: 0.0000 0.0000 0.0000 (multiplicity 2)  6 Cl 2.49-2.58
In: 0.0757 0.3216 0.5000 (multiplicity 4)  5 Cl 3.00-3.16
Cl: 0.1387 0.8137 0.0000 (multiplicity 4)  1 Mg 2.49
Cl: 0.1681 0.0745 0.5000 (multiplicity 4)  2 Mg 2.58

***

Which structure is most stable, and how do the rest compare? From most to least stable: entry B, entry A.